## HoB4W (PBE)

Data for crystalline HoB4W at its relaxed geometry.

Results
Polymorph energy (0 for the lowest one) in eV per formula unit: 0.98
DFT total energy in eV per formula unit: -46.87

a = 3.156 Å, b = 5.423 Å, c = 6.990 Å
α = 90.00°, β = 90.00°, γ = 90.00°
Space group Immm (No. 71)
Inequivalent atoms, fractional coordinates:
Ho1 0.000 0.000 0.000 x2
B1 0.000 0.337 0.248 x8
W1 0.000 0.000 0.500 x2



## Be2IrPt (PBE)

Data for crystalline Be2IrPt at its relaxed geometry.

Results
Polymorph energy (0 for the lowest one) in eV per formula unit: 0.01
DFT total energy in eV per formula unit: -25.25

a = 2.827 Å, b = 2.827 Å, c = 5.633 Å
α = 90.00°, β = 90.00°, γ = 90.00°
Space group P4/mmm (No. 123)
Inequivalent atoms, fractional coordinates:
Be1 0.000 0.000 0.234 x2
Ir1 0.500 0.500 0.000 x1
Pt1 0.500 0.500 0.500 x1



## HoZrSi2 (PBE)

Data for crystalline HoZrSi2 at its relaxed geometry.

Results
Polymorph energy (0 for the lowest one) in eV per formula unit: 0.00
DFT total energy in eV per formula unit: -27.39

a = 3.782 Å, b = 7.511 Å, c = 5.465 Å
α = 90.00°, β = 90.00°, γ = 90.00°
Space group Pmn2_1 (No. 31)
Inequivalent atoms, fractional coordinates:
Ho1 0.000 0.073 0.000 x2
Zr1 0.000 0.566 0.259 x2
Si1 0.000 0.223 0.513 x2
Si2 0.000 0.699 0.742 x2



## NdDyAl2Pt4 (PBE)

Data for crystalline NdDyAl2Pt4 at its relaxed geometry.

Results
DFT total energy in eV per formula unit: -50.25

a = 4.3653 Å, b = 4.3653 Å, c = 9.4334 Å
α = 90.00°, β = 90.00°, γ = 120.00°
Space group P-6m2 (No. 187)
Inequivalent atoms, fractional coordinates:
Nd1 0.0000 0.0000 0.0000 x1
Dy1 0.3333 0.6667 0.5000 x1
Al1 0.6667 0.3333 0.2557 x2
Pt1 0.0000 0.0000 0.3375 x2
Pt2 0.3333 0.6667 0.1805 x2



## LiAgPbSeS2 (PBE)

Data for crystalline LiAgPbSeS2 at its relaxed geometry.

Results
DFT total energy in eV per formula unit: -21.77

a = 4.009 Å, b = 11.911 Å, c = 11.080 Å
α = 90.00°, β = 90.00°, γ = 90.00°
Space group Cmcm (No. 63)
Inequivalent atoms, fractional coordinates:
Li1 0.000 0.186 0.250 x4
Ag1 0.000 0.121 0.750 x4
Pb1 0.000 0.500 0.000 x4
Se1 0.000 0.445 0.750 x4
S1 0.000 0.159 0.532 x8



## Ba2AgBiO6 (PBE)

Data for crystalline Ba2AgBiO6 at its relaxed geometry.

Results
Polymorph energy (0 for the lowest one) in eV per formula unit: 0.02
DFT total energy in eV per formula unit: -54.79

a = 5.973 Å, b = 5.975 Å, c = 8.459 Å
α = 90.01°, β = 90.00°, γ = 90.04°
Space group P-1 (No. 2)
Inequivalent atoms, fractional coordinates:
Ba1 0.000 0.000 0.250 x2
Ba2 0.500 0.500 0.250 x2
Ag1 0.000 0.500 0.000 x1
Ag2 0.500 0.000 0.500 x1
Bi1 0.000 0.500 0.500 x1
Bi2 0.500 0.000 0.000 x1
O1 0.001 0.500 0.250 x2
O2 0.245 0.754 0.999 x2
O3 0.248 0.248 0.500 x2
O4 0.253 0.748 0.501 x2
O5 0.254 0.254 0.000 x2
O6 0.499 0.000 0.250 x2